[1]
The following is a DFT calculation (PBE-GGA) of a geometry-optimized TlCo2Tc structure.

Cell lengths 6.1521, 6.1521, 6.1521 Å; angles 90.00, 90.00, 90.00 degrees
Last column: nearest neighbours and their distance in Å.
Element x y z (fractional)
1 Tl 0.0000 0.0000 0.0000  8 Co 2.66
2 Tl 0.0000 0.5000 0.5000  8 Co 2.66
3 Tl 0.5000 0.0000 0.5000  8 Co 2.66
4 Tl 0.5000 0.5000 0.0000  8 Co 2.66
5 Co 0.2500 0.2500 0.2500  4 Tl 2.66, 4 Tc 2.66
6 Co 0.2500 0.2500 0.7500  4 Tl 2.66, 4 Tc 2.66
7 Co 0.2500 0.7500 0.2500  4 Tl 2.66, 4 Tc 2.66
8 Co 0.2500 0.7500 0.7500  4 Tl 2.66, 4 Tc 2.66
9 Co 0.7500 0.2500 0.2500  4 Tl 2.66, 4 Tc 2.66
10 Co 0.7500 0.2500 0.7500  4 Tl 2.66, 4 Tc 2.66
11 Co 0.7500 0.7500 0.2500  4 Tl 2.66, 4 Tc 2.66
12 Co 0.7500 0.7500 0.7500  4 Tl 2.66, 4 Tc 2.66
13 Tc 0.0000 0.0000 0.5000  8 Co 2.66
14 Tc 0.0000 0.5000 0.0000  8 Co 2.66
15 Tc 0.5000 0.0000 0.0000  8 Co 2.66
16 Tc 0.5000 0.5000 0.5000  8 Co 2.66

Properties
formation energy	0.505	eV/atom
total magnetization	16.11	Bohr magnetons per cell
ρ	11.99	g cm⁻³
final energy	-99.691	eV per cell
DOS at the Fermi energy	0.148	states/eV/atom

***

[2]
The following is a DFT calculation (PBE-GGA) of a geometry-optimized ErZr5Sc6 structure.

Cell lengths 5.5898, 5.5898, 10.8088 Å; angles 94.97, 94.97, 120.04 degrees
Last column: nearest neighbours and their distance in Å.
Element x y z (fractional)
1 Er 0.0000 0.0000 0.0000  6 Zr 3.23, 6 Sc 3.31-3.32
2 Zr 0.1684 0.8316 0.5000  6 Sc 3.18-3.23, 6 Zr 3.21-3.26
3 Zr 0.3333 0.6667 0.0000  3 Zr 3.23, 3 Er 3.23, 6 Sc 3.27-3.28
4 Zr 0.5000 0.5000 0.5000  6 Sc 3.18-3.22, 6 Zr 3.21-3.23
5 Zr 0.6667 0.3333 0.0000  3 Zr 3.23, 3 Er 3.23, 6 Sc 3.27-3.28
6 Zr 0.8316 0.1684 0.5000  6 Sc 3.18-3.23, 6 Zr 3.21-3.26
7 Sc 0.0837 0.4244 0.2546  5 Zr 3.18-3.28, 6 Sc 3.19-3.30, 1 Er 3.31
8 Sc 0.2566 0.2566 0.7449  5 Zr 3.18-3.28, 6 Sc 3.19-3.30, 1 Er 3.32
9 Sc 0.4244 0.0837 0.2546  5 Zr 3.18-3.28, 6 Sc 3.19-3.30, 1 Er 3.31
10 Sc 0.5756 0.9163 0.7454  5 Zr 3.18-3.28, 6 Sc 3.19-3.30, 1 Er 3.31
11 Sc 0.7434 0.7434 0.2551  5 Zr 3.18-3.28, 6 Sc 3.19-3.30, 1 Er 3.32
12 Sc 0.9163 0.5756 0.7454  5 Zr 3.18-3.28, 6 Sc 3.19-3.30, 1 Er 3.31

Properties
formation energy	0.045	eV/atom
total magnetization	0.00	Bohr magnetons per cell
ρ	5.15	g cm⁻³
final energy	-84.754	eV per cell
DOS at the Fermi energy	1.535	states/eV/atom

***

Please write out number 1 again, unchanged.
The following is a DFT calculation (PBE-GGA) of a geometry-optimized TlCo2Tc structure.

Cell lengths 6.1521, 6.1521, 6.1521 Å; angles 90.00, 90.00, 90.00 degrees
Last column: nearest neighbours and their distance in Å.
Element x y z (fractional)
1 Tl 0.0000 0.0000 0.0000  8 Co 2.66
2 Tl 0.0000 0.5000 0.5000  8 Co 2.66
3 Tl 0.5000 0.0000 0.5000  8 Co 2.66
4 Tl 0.5000 0.5000 0.0000  8 Co 2.66
5 Co 0.2500 0.2500 0.2500  4 Tl 2.66, 4 Tc 2.66
6 Co 0.2500 0.2500 0.7500  4 Tl 2.66, 4 Tc 2.66
7 Co 0.2500 0.7500 0.2500  4 Tl 2.66, 4 Tc 2.66
8 Co 0.2500 0.7500 0.7500  4 Tl 2.66, 4 Tc 2.66
9 Co 0.7500 0.2500 0.2500  4 Tl 2.66, 4 Tc 2.66
10 Co 0.7500 0.2500 0.7500  4 Tl 2.66, 4 Tc 2.66
11 Co 0.7500 0.7500 0.2500  4 Tl 2.66, 4 Tc 2.66
12 Co 0.7500 0.7500 0.7500  4 Tl 2.66, 4 Tc 2.66
13 Tc 0.0000 0.0000 0.5000  8 Co 2.66
14 Tc 0.0000 0.5000 0.0000  8 Co 2.66
15 Tc 0.5000 0.0000 0.0000  8 Co 2.66
16 Tc 0.5000 0.5000 0.5000  8 Co 2.66

Properties
formation energy	0.505	eV/atom
total magnetization	16.11	Bohr magnetons per cell
ρ	11.99	g cm⁻³
final energy	-99.691	eV per cell
DOS at the Fermi energy	0.148	states/eV/atom

***

> Which of these has the highest total magnetization?

TlCo2Tc

***

> Number 2 is which compound?

ErZr5Sc6